A geometry-optimized NaGa2AgS4 structure. Source: the Open Quantum Materials Database, functional GGA-PBE.

Cell lengths 6.624, 6.624, 6.624 Å; angles 126.30, 126.30, 79.39 degrees
Element x y z (fractional)
Na1 0.000 0.000 0.000
Ga1 0.250 0.750 0.500
Ga2 0.500 0.500 0.000
Ag1 0.750 0.250 0.500
S1 0.169 0.129 0.557
S2 0.387 0.831 0.959
S3 0.572 0.613 0.443
S4 0.871 0.428 0.041

Computed properties:
Energy: -4.07 eV/atom